Compound: U2BiSe5
Source: Alexandria
Functional: PBE-GGA
Structure: relaxed

**Magnetic moment**: 5.01 μB/f.u.
**Energy relative to the elements, uncorrected**: -0.85 eV/atom
**Mass density**: 8.71 g/cm³
**Space group**: No. 55

Cell lengths 4.032, 8.131, 12.565 Å; angles 90.00, 90.00, 90.00 degrees
Sites, in units of the cell vectors:
U 0.500 0.524 0.175
U 0.500 0.476 0.825
U 0.500 0.976 0.675
U 0.500 0.024 0.325
Bi 0.000 0.500 0.500
Bi 0.000 0.000 0.000
Se 0.000 0.000 0.500
Se 0.000 0.500 0.000
Se 0.000 0.814 0.200
Se 0.000 0.186 0.800
Se 0.000 0.686 0.700
Se 0.000 0.314 0.300
Se 0.500 0.675 0.385
Se 0.500 0.325 0.615
Se 0.500 0.825 0.885
Se 0.500 0.175 0.115

Compound: UBi2Se5
Source: Alexandria
Functional: PBE-GGA
Structure: relaxed

**Magnetic moment**: 0.31 μB/f.u.
**Energy relative to the elements, uncorrected**: -0.44 eV/atom
**Mass density**: 6.31 g/cm³
**Space group**: No. 12

Cell lengths 5.971, 7.267, 7.632 Å; angles 80.51, 66.97, 65.07 degrees
Sites, in units of the cell vectors:
U 0.500 0.500 0.500
Bi 0.774 0.500 0.953
Bi 0.226 0.500 0.047
Se 0.217 0.794 0.764
Se 0.482 0.794 0.236
Se 0.000 0.500 0.500
Se 0.783 0.206 0.236
Se 0.518 0.206 0.764

Compound: U2Bi2Se7
Source: Alexandria
Functional: PBE-GGA
Structure: relaxed

**Magnetic moment**: 4.00 μB/f.u.
**Energy relative to the elements, uncorrected**: -0.72 eV/atom
**Mass density**: 8.03 g/cm³
**Space group**: No. 44

Cell lengths 4.123, 9.498, 9.498 Å; angles 56.05, 77.46, 77.46 degrees
Sites, in units of the cell vectors:
U 0.000 0.799 0.201
U 0.500 0.349 0.651
Bi 0.766 0.769 0.698
Bi 0.234 0.302 0.231
Se 0.818 0.069 0.295
Se 0.881 0.414 0.824
Se 0.500 0.019 0.981
Se 0.595 0.531 0.278
Se 0.405 0.722 0.469
Se 0.182 0.705 0.931
Se 0.119 0.176 0.586

Compound: UBi2Se6
Source: Alexandria
Functional: PBE-GGA
Structure: relaxed

**Magnetic moment**: 0.10 μB/f.u.
**Energy relative to the elements, uncorrected**: -0.52 eV/atom
**Mass density**: 6.51 g/cm³
**Space group**: No. 136

Cell lengths 6.728, 6.728, 12.732 Å; angles 90.00, 90.00, 90.00 degrees
Sites, in units of the cell vectors:
U 0.500 0.500 0.000
U 0.000 0.000 0.500
Bi 0.500 0.500 0.333
Bi 0.500 0.500 0.667
Bi 0.000 0.000 0.167
Bi 0.000 0.000 0.833
Se 0.692 0.692 0.155
Se 0.692 0.692 0.845
Se 0.711 0.711 0.500
Se 0.789 0.211 0.000
Se 0.808 0.192 0.345
Se 0.808 0.192 0.655
Se 0.192 0.808 0.345
Se 0.192 0.808 0.655
Se 0.211 0.789 0.000
Se 0.289 0.289 0.500
Se 0.308 0.308 0.155
Se 0.308 0.308 0.845

Compound: V5Bi3Se12
Source: Alexandria
Functional: PBE-GGA
Structure: relaxed

**Magnetic moment**: 10.00 μB/f.u.
**Energy relative to the elements, uncorrected**: -0.43 eV/atom
**Mass density**: 5.99 g/cm³
**Space group**: No. 230

Cell lengths 13.809, 13.809, 13.809 Å; angles 109.47, 109.47, 109.47 degrees
Sites, in units of the cell vectors:
Bi 0.750 0.375 0.125
Bi 0.875 0.750 0.125
Bi 0.375 0.750 0.625
Bi 0.250 0.125 0.375
Bi 0.875 0.125 0.250
Bi 0.375 0.625 0.250
Bi 0.625 0.375 0.750
Bi 0.125 0.875 0.750
Bi 0.750 0.875 0.625
Bi 0.625 0.250 0.375
Bi 0.125 0.250 0.875
Bi 0.250 0.625 0.875
V 0.125 0.375 0.250
V 0.000 0.500 0.000
V 0.000 0.000 0.000
V 0.375 0.250 0.125
V 0.500 0.000 0.500
V 0.500 0.500 0.000
V 0.125 0.750 0.375
V 0.750 0.125 0.875
V 0.750 0.625 0.375
V 0.375 0.125 0.750
V 0.625 0.875 0.250
V 0.500 0.500 0.500
V 0.500 0.000 0.000
V 0.000 0.000 0.500
V 0.250 0.375 0.625
V 0.250 0.875 0.125
V 0.000 0.500 0.500
V 0.875 0.250 0.625
V 0.625 0.750 0.875
V 0.875 0.625 0.750
Se 0.703 0.119 0.025
Se 0.322 0.525 0.406
Se 0.975 0.381 0.297
Se 0.525 0.203 0.119
Se 0.584 0.703 0.678
Se 0.975 0.594 0.178
Se 0.322 0.797 0.416
Se 0.094 0.916 0.119
Se 0.594 0.975 0.678
Se 0.703 0.584 0.178
Se 0.797 0.475 0.381
Se 0.822 0.906 0.025
Se 0.119 0.703 0.525
Se 0.381 0.406 0.084
Se 0.084 0.906 0.381
Se 0.416 0.119 0.594
Se 0.084 0.178 0.203
Se 0.475 0.678 0.094
Se 0.822 0.916 0.297
Se 0.119 0.416 0.094
Se 0.381 0.975 0.797
Se 0.594 0.619 0.416
Se 0.906 0.822 0.525
Se 0.797 0.322 0.916
Se 0.406 0.381 0.584
Se 0.094 0.178 0.475
Se 0.203 0.678 0.084
Se 0.178 0.084 0.703
Se 0.619 0.025 0.203
Se 0.881 0.584 0.906
Se 0.525 0.322 0.906
Se 0.584 0.881 0.406
Se 0.916 0.822 0.797
Se 0.916 0.094 0.619
Se 0.881 0.297 0.475
Se 0.178 0.094 0.975
Se 0.619 0.594 0.916
Se 0.406 0.025 0.322
Se 0.297 0.416 0.822
Se 0.203 0.525 0.619
Se 0.906 0.084 0.881
Se 0.678 0.203 0.584
Se 0.475 0.797 0.881
Se 0.025 0.406 0.822
Se 0.416 0.297 0.322
Se 0.025 0.619 0.703
Se 0.678 0.475 0.594
Se 0.297 0.881 0.975

Compound: V2BiSe
Source: Alexandria
Functional: PBE-GGA
Structure: relaxed

**Magnetic moment**: 1.39 μB/f.u.
**Energy relative to the lowest polymorph listed for this composition**: 0.026 eV/atom
**Energy relative to the elements, uncorrected**: 0.29 eV/atom
**Mass density**: 9.17 g/cm³
**Space group**: No. 225

Cell lengths 4.639, 4.639, 4.639 Å; angles 60.00, 60.00, 60.00 degrees
Sites, in units of the cell vectors:
Bi 0.500 0.500 0.500
Se 0.000 0.000 0.000
V 0.250 0.250 0.250
V 0.750 0.750 0.750